Record 1
Be2CrPt: optimized geometry, GGA-PBE.

a = 3.9461 Å, b = 3.9465 Å, c = 2.8628 Å
α = 90.00°, β = 90.00°, γ = 90.00°
Sites, in units of the cell vectors:
Cr  0.5000  0.0000  0.5000
Pt  0.0000  0.5000  0.5000
Be  0.0000  0.0000  0.0000
Be  0.5000  0.5000  0.0000

## Properties
E_form = -1.01 eV per formula unit
space group = P4/mmm

=====

Record 2
Ce2Ge3Rh2: optimized geometry, GGA-PBE.

a = 4.3403 Å, b = 5.5053 Å, c = 6.6274 Å
α = 110.46°, β = 90.00°, γ = 113.22°
Sites, in units of the cell vectors:
Ce  0.8457  0.6915  0.2192
Ce  0.1543  0.3085  0.7808
Ge  0.5000  0.0000  0.0000
Ge  0.6167  0.2335  0.4455
Ge  0.3833  0.7665  0.5545
Rh  0.8698  0.7397  0.7772
Rh  0.1302  0.2603  0.2228

## Properties
E_form = -5.12 eV per formula unit
space group = C2/m

=====

Record 3
GaTeSe2N: optimized geometry, GGA-PBE.

a = 5.4442 Å, b = 5.8003 Å, c = 5.4442 Å
α = 90.00°, β = 90.00°, γ = 90.00°
Sites, in units of the cell vectors:
Te  0.0000  0.0000  0.0000
Ga  0.0000  0.5000  0.0000
Se  0.0000  0.0000  0.5000
Se  0.5000  0.0000  0.0000
N  0.5000  0.5000  0.5000

## Properties
uncorrected formation energy = 1352.7 meV per atom
space group = P4/mmm

=====

Record 4
ZnFe2Pt: optimized geometry, GGA-PBE.

a = 2.6678 Å, b = 2.6678 Å, c = 7.5112 Å
α = 90.00°, β = 90.00°, γ = 90.02°
Sites, in units of the cell vectors:
Fe  0.0000  0.0000  0.9946
Fe  0.0000  0.0000  0.5054
Pt  0.5000  0.5000  0.2500
Zn  0.5000  0.5000  0.7500

## Properties
E_form = -0.38 eV per formula unit
space group = P4/mmm

=====

Record 5
Cs4Zr3S14: optimized geometry, GGA-PBE.

a = 12.0599 Å, b = 12.0599 Å, c = 14.4473 Å
α = 68.36°, β = 68.36°, γ = 42.23°
Sites, in units of the cell vectors:
Cs  0.4823  0.1148  0.6074
Cs  0.1728  0.6972  0.6412
Cs  0.8852  0.5177  0.8926
Cs  0.3028  0.8272  0.8588
Cs  0.5177  0.8852  0.3926
Cs  0.8272  0.3028  0.3588
Cs  0.1148  0.4823  0.1074
Cs  0.6972  0.1728  0.1412
Zr  0.5790  0.0851  0.9135
Zr  0.2638  0.7362  0.2500
Zr  0.0851  0.5790  0.4135
Zr  0.9149  0.4210  0.5865
Zr  0.4210  0.9149  0.0865
Zr  0.7362  0.2638  0.7500
S  0.7371  0.0715  0.7112
S  0.5653  0.6054  0.1325
S  0.0162  0.8451  0.4111
S  0.2988  0.6187  0.1130
S  0.8451  0.0162  0.9111
S  0.4347  0.3946  0.8675
S  0.6505  0.6838  0.6648
S  0.3162  0.3495  0.8352
S  0.5073  0.9345  0.9025
S  0.6054  0.5653  0.6325
S  0.1022  0.1821  0.1108
S  0.4927  0.0655  0.0975
S  0.9838  0.1549  0.5889
S  0.9285  0.2629  0.7888
S  0.7012  0.3813  0.8870
S  0.1821  0.1022  0.6108
S  0.9345  0.5073  0.4025
S  0.6838  0.6505  0.1648
S  0.3813  0.7012  0.3870
S  0.8179  0.8978  0.3892
S  0.3946  0.4347  0.3675
S  0.6187  0.2988  0.6130
S  0.0655  0.4927  0.5975
S  0.1549  0.9838  0.0889
S  0.0715  0.7371  0.2112
S  0.3495  0.3162  0.3352
S  0.2629  0.9285  0.2888
S  0.8978  0.8179  0.8892

## Properties
uncorrected formation energy = -1138.6 meV per atom
space group = C2/c

=====

Record 6
CsCuSbI2: optimized geometry, GGA-PBE.

a = 6.0921 Å, b = 6.0921 Å, c = 4.9669 Å
α = 90.00°, β = 90.00°, γ = 90.00°
Sites, in units of the cell vectors:
Cs  0.5000  0.5000  0.5000
I  0.0000  0.5000  0.0000
I  0.5000  0.0000  0.0000
Cu  0.0000  0.0000  0.0000
Sb  0.0000  0.0000  0.5000

## Properties
uncorrected formation energy = -281.6 meV per atom
space group = P4/mmm

=====

Record 7
LaY2NpP4: optimized geometry, GGA-PBE.

a = 4.0580 Å, b = 7.0525 Å, c = 7.0293 Å
α = 109.36°, β = 90.00°, γ = 90.00°
Sites, in units of the cell vectors:
La  0.5000  0.5000  0.0000
Y  0.5000  0.0000  0.5000
Y  0.0000  0.5000  0.5000
Np  0.0000  0.0000  0.0000
P  0.5000  0.2406  0.2501
P  0.5000  0.7594  0.7499
P  0.0000  0.2371  0.7444
P  0.0000  0.7629  0.2556

## Properties
E_form = -11.15 eV per formula unit
space group = P2/m